## MgBeCl (PBE)

Data for a relaxed MgBeCl crystal.

abc: 3.6437 3.6485 10.4798
angles: 89.81 99.60 119.97
Atoms (fractional coordinates):
Mg (0.6146, 0.5557, 0.6806)
Cl (0.9642, 0.7350, 0.1793)
Be (0.1656, 0.8327, 0.4988)
Mg (0.3854, 0.4443, 0.3194)
Be (0.8344, 0.1673, 0.5012)
Cl (0.0358, 0.2650, 0.8207)

Properties
- E: -2.948 eV per atom
- E_form (uncorrected): -0.559 eV per atom
- D(E_F): 1.3 states/eV/f.u.